# PHCl2, relaxed, DFT PBE
data_PHCl2
_chemical_formula_sum 'P1 H1 Cl2'
_space_group_name_H-M_alt 'P 1'
_space_group_IT_number 1
_space_group_name_Hall 'P 1'
_cell_length_a 7.644
_cell_length_b 7.644
_cell_length_c 7.644
_cell_angle_alpha 24.78
_cell_angle_beta 24.78
_cell_angle_gamma 24.78
loop_
_atom_site_label
_atom_site_fract_x
_atom_site_fract_y
_atom_site_fract_z
P1 0.500 0.500 0.500
H1 0.000 0.000 0.000
Cl1 0.930 0.930 0.930
Cl2 0.070 0.070 0.070
# E above lowest polymorph: 0.000 eV/atom
# Theoretical density: 2.48 g/cm3
# Crystal system: trigonal

---

# P2HCl, relaxed, DFT PBE
data_P2HCl
_chemical_formula_sum 'P2 H1 Cl1'
_space_group_name_H-M_alt 'P 1'
_space_group_IT_number 1
_space_group_name_Hall 'P 1'
_cell_length_a 4.339
_cell_length_b 4.339
_cell_length_c 4.339
_cell_angle_alpha 60.00
_cell_angle_beta 60.00
_cell_angle_gamma 60.00
loop_
_atom_site_label
_atom_site_fract_x
_atom_site_fract_y
_atom_site_fract_z
P1 0.250 0.250 0.250
P2 0.750 0.750 0.750
H1 0.000 0.000 0.000
Cl1 0.500 0.500 0.500
# E above lowest polymorph: 0.567 eV/atom
# Theoretical density: 2.83 g/cm3
# Crystal system: cubic

---

# PHCl3, relaxed, DFT PBE
data_PHCl3
_chemical_formula_sum 'P1 H1 Cl3'
_space_group_name_H-M_alt 'P 1'
_space_group_IT_number 1
_space_group_name_Hall 'P 1'
_cell_length_a 4.764
_cell_length_b 4.764
_cell_length_c 4.764
_cell_angle_alpha 90.00
_cell_angle_beta 90.00
_cell_angle_gamma 90.00
loop_
_atom_site_label
_atom_site_fract_x
_atom_site_fract_y
_atom_site_fract_z
P1 0.000 0.000 0.000
H1 0.500 0.500 0.500
Cl1 0.000 0.500 0.000
Cl2 0.000 0.000 0.500
Cl3 0.500 0.000 0.000
# E above lowest polymorph: 0.000 eV/atom
# Theoretical density: 2.12 g/cm3
# Crystal system: cubic

---

# PH4Cl, relaxed, DFT PBE
data_PH4Cl
_chemical_formula_sum 'P2 H8 Cl2'
_space_group_name_H-M_alt 'P 1'
_space_group_IT_number 1
_space_group_name_Hall 'P 1'
_cell_length_a 4.228
_cell_length_b 5.209
_cell_length_c 6.329
_cell_angle_alpha 114.29
_cell_angle_beta 109.51
_cell_angle_gamma 90.00
loop_
_atom_site_label
_atom_site_fract_x
_atom_site_fract_y
_atom_site_fract_z
P1 0.500 0.000 0.500
P2 0.000 0.500 0.500
H1 0.467 0.131 0.763
H2 0.705 0.369 0.237
H3 0.533 0.869 0.237
H4 0.295 0.631 0.763
H5 0.782 0.782 0.563
H6 0.218 0.718 0.437
H7 0.218 0.218 0.437
H8 0.782 0.282 0.563
Cl1 0.707 0.750 0.000
Cl2 0.293 0.250 0.000
# Theoretical density: 1.98 g/cm3
# Raw total energy: -39.54 eV per cell
# Crystal system: orthorhombic

---

# PHCl2, relaxed, DFT PBE
data_PHCl2
_chemical_formula_sum 'P1 H1 Cl2'
_space_group_name_H-M_alt 'P 1'
_space_group_IT_number 1
_space_group_name_Hall 'P 1'
_cell_length_a 7.397
_cell_length_b 7.397
_cell_length_c 7.397
_cell_angle_alpha 25.03
_cell_angle_beta 25.03
_cell_angle_gamma 25.03
loop_
_atom_site_label
_atom_site_fract_x
_atom_site_fract_y
_atom_site_fract_z
P1 0.000 0.000 0.000
H1 0.500 0.500 0.500
Cl1 0.894 0.894 0.894
Cl2 0.106 0.106 0.106
# E above lowest polymorph: 0.136 eV/atom
# Theoretical density: 2.68 g/cm3
# Crystal system: trigonal

---

# PH4Cl2, relaxed, DFT PBE
data_PH4Cl2
_chemical_formula_sum 'P1 H4 Cl2'
_space_group_name_H-M_alt 'P 1'
_space_group_IT_number 1
_space_group_name_Hall 'P 1'
_cell_length_a 5.725
_cell_length_b 5.725
_cell_length_c 5.472
_cell_angle_alpha 127.34
_cell_angle_beta 105.76
_cell_angle_gamma 99.24
loop_
_atom_site_label
_atom_site_fract_x
_atom_site_fract_y
_atom_site_fract_z
P1 0.007 0.029 0.036
H1 0.823 0.140 0.963
H2 0.167 0.227 0.394
H3 0.172 0.017 0.880
H4 0.864 0.709 0.880
Cl1 0.659 0.114 0.423
Cl2 0.309 0.764 0.423
# Theoretical density: 1.42 g/cm3
# Raw total energy: -23.30 eV per cell
# Crystal system: monoclinic

---

# PH6Cl2, relaxed, DFT PBE
data_PH6Cl2
_chemical_formula_sum 'P1 H6 Cl2'
_space_group_name_H-M_alt 'P 1'
_space_group_IT_number 1
_space_group_name_Hall 'P 1'
_cell_length_a 9.465
_cell_length_b 4.237
_cell_length_c 4.237
_cell_angle_alpha 89.99
_cell_angle_beta 77.08
_cell_angle_gamma 77.08
loop_
_atom_site_label
_atom_site_fract_x
_atom_site_fract_y
_atom_site_fract_z
P1 0.000 0.000 0.000
H1 0.000 0.360 0.000
H2 0.492 0.754 0.754
H3 0.000 0.000 0.360
H4 0.000 0.640 0.000
H5 0.508 0.246 0.246
H6 0.000 0.000 0.640
Cl1 0.636 0.682 0.682
Cl2 0.364 0.318 0.318
# Theoretical density: 1.11 g/cm3
# Raw total energy: -28.64 eV per cell
# Crystal system: tetragonal

---

# PHCl2, relaxed, DFT PBE
data_PHCl2
_chemical_formula_sum 'P1 H1 Cl2'
_space_group_name_H-M_alt 'P 1'
_space_group_IT_number 1
_space_group_name_Hall 'P 1'
_cell_length_a 4.497
_cell_length_b 4.497
_cell_length_c 4.497
_cell_angle_alpha 60.00
_cell_angle_beta 60.00
_cell_angle_gamma 60.00
loop_
_atom_site_label
_atom_site_fract_x
_atom_site_fract_y
_atom_site_fract_z
P1 0.500 0.500 0.500
H1 0.000 0.000 0.000
Cl1 0.250 0.250 0.250
Cl2 0.750 0.750 0.750
# E above lowest polymorph: 0.544 eV/atom
# Theoretical density: 2.66 g/cm3
# Crystal system: cubic

---

Number 1: calculated volume 69.02 Å³ per cell. Number 2: calculated volume 57.76 Å³ per cell. Number 3: calculated volume 108.14 Å³ per cell. Number 4: calculated volume 118.22 Å³ per cell. Number 5: calculated volume 63.75 Å³ per cell. Number 6: calculated volume 124.21 Å³ per cell. Number 7: calculated volume 161.21 Å³ per cell. Number 8: calculated volume 64.31 Å³ per cell.